Material: Na4Ce3ZnSe8
Method: DFT, GGA-PBE
State: relaxed

a = 8.3733 Å, b = 8.4812 Å, c = 8.3950 Å
α = 119.68°, β = 119.91°, γ = 90.00°
Closest atoms and distances in Å follow each position.
Element x y z (fractional)
Na  0.5000  0.0000  0.0000  6 Se 3.11-3.16
Na  0.5000  0.0000  0.5000  6 Se 3.03-3.05
Na  0.0000  0.0000  0.0000  6 Se 3.04
Na  0.0000  0.0000  0.5000  6 Se 3.03-3.05
Ce  0.5000  0.5000  0.0000  6 Se 2.93
Ce  0.5000  0.5000  0.5000  6 Se 2.92-2.93
Ce  0.0000  0.5000  0.5000  6 Se 2.92-2.93
Zn  0.0000  0.5000  0.0000  6 Se 2.80-2.86
Se  0.2348  0.7259  0.9904  1 Zn 2.80, 2 Ce 2.93, 2 Na 3.04-3.05
Se  0.2395  0.7297  0.4791  1 Zn 2.86, 2 Ce 2.92, 3 Na 3.04-3.11
Se  0.2544  0.2624  0.5088  3 Ce 2.93, 3 Na 3.03-3.04
Se  0.7556  0.7259  0.9904  1 Zn 2.80, 2 Ce 2.93, 2 Na 3.04-3.05
Se  0.2444  0.2741  0.0096  1 Zn 2.80, 2 Ce 2.93, 2 Na 3.04-3.05
Se  0.7456  0.7376  0.4912  3 Ce 2.93, 3 Na 3.03-3.04
Se  0.7605  0.2703  0.5209  1 Zn 2.86, 2 Ce 2.92, 3 Na 3.04-3.11
Se  0.7652  0.2741  0.0096  1 Zn 2.80, 2 Ce 2.93, 2 Na 3.04-3.05

Output
**Total moment**: 1.99 μB/f.u.
**ΔE_f (raw)**: -1.40 eV/atom
**N(E_F)**: 13.317 states/eV/f.u.
**Final energy**: -0.1713 Ha/atom


Material: Y5Te6
Method: DFT, GGA-PBE
State: relaxed

a = 7.5316 Å, b = 7.5033 Å, c = 7.5046 Å
α = 80.31°, β = 70.40°, γ = 59.87°
Closest atoms and distances in Å follow each position.
Element x y z (fractional)
Y  0.5000  0.0000  0.5000  6 Te 3.07-3.16
Y  0.3359  0.3282  0.0000  6 Te 3.05-3.09
Y  0.6641  0.6718  0.0000  6 Te 3.05-3.09
Y  0.1701  0.6598  0.5000  6 Te 3.07-3.13
Y  0.8299  0.3402  0.5000  6 Te 3.07-3.13
Te  0.7591  0.0000  0.7545  5 Y 3.05-3.16
Te  0.2409  0.0000  0.2455  5 Y 3.05-3.16
Te  0.4030  0.6769  0.7575  5 Y 3.07-3.13
Te  0.9201  0.6769  0.2425  5 Y 3.07-3.13
Te  0.5970  0.3231  0.2425  5 Y 3.07-3.13
Te  0.0799  0.3231  0.7575  5 Y 3.07-3.13

Output
**Total moment**: 0.00 μB/f.u.
**ΔE_f (raw)**: -1.42 eV/atom
**N(E_F)**: 5.270 states/eV/f.u.
**Final energy**: -0.2231 Ha/atom


Material: MnNbFeRh
Method: DFT, GGA-PBE
State: relaxed

a = 4.3234 Å, b = 4.3234 Å, c = 4.3234 Å
α = 60.00°, β = 60.00°, γ = 60.00°
Closest atoms and distances in Å follow each position.
Element x y z (fractional)
Nb  0.0000  0.0000  0.0000  4 Fe 2.65, 4 Rh 2.65
Mn  0.5000  0.5000  0.5000  4 Rh 2.65, 4 Fe 2.65
Rh  0.7500  0.7500  0.7500  4 Mn 2.65, 4 Nb 2.65
Fe  0.2500  0.2500  0.2500  4 Nb 2.65, 4 Mn 2.65

Output
**Total moment**: 4.97 μB/f.u.
**Formation enthalpy at 0 K**: -0.15 eV per atom
**N(E_F)**: 1.754 states/eV/f.u.
**Final energy**: -0.3275 Ha/atom


Material: NbCuF2
Method: DFT, GGA-PBE
State: relaxed

a = 7.5508 Å, b = 7.5508 Å, c = 7.5508 Å
α = 21.86°, β = 21.86°, γ = 21.86°
Closest atoms and distances in Å follow each position.
Element x y z (fractional)
Nb  0.0000  0.0000  0.0000  2 F 2.12
Cu  0.5000  0.5000  0.5000  6 F 2.27
F  0.9040  0.9040  0.9040  1 Nb 2.12, 3 Cu 2.27
F  0.0960  0.0960  0.0960  1 Nb 2.12, 3 Cu 2.27

Output
**Total moment**: 0.00 μB/f.u.
**ΔE_f (raw)**: -1.04 eV/atom
**N(E_F)**: 1.855 states/eV/f.u.
**Final energy**: -0.2029 Ha/atom


Material: Ho4NiBr5
Method: DFT, GGA-PBE
State: relaxed

a = 3.9155 Å, b = 8.4065 Å, c = 9.4371 Å
α = 102.25°, β = 101.97°, γ = 90.00°
Closest atoms and distances in Å follow each position.
Element x y z (fractional)
Ho  0.3549  0.9238  0.7097  1 Ni 2.62, 2 Br 2.89
Ho  0.9990  0.7884  0.9981  2 Ni 2.64
Ho  0.6451  0.0762  0.2903  1 Ni 2.62, 2 Br 2.89
Ho  0.0010  0.2116  0.0019  2 Ni 2.64
Ni  0.5000  0.0000  0.0000  6 Ho 2.62-2.64
Br  0.8320  0.6648  0.6640  3 Ho 2.89-3.03
Br  0.8217  0.1597  0.6433  4 Ho 2.94-3.24
Br  0.1783  0.8403  0.3567  4 Ho 2.94-3.24
Br  0.5000  0.5000  0.0000  4 Ho 3.12
Br  0.1680  0.3352  0.3360  3 Ho 2.89-3.03

Output
**Total moment**: 0.00 μB/f.u.
**ΔE_f (raw)**: -1.35 eV/atom
**N(E_F)**: 3.420 states/eV/f.u.
**Final energy**: -0.1689 Ha/atom


Material: LiLuAlNi
Method: DFT, GGA-PBE
State: relaxed

a = 4.4929 Å, b = 4.4929 Å, c = 4.4929 Å
α = 60.00°, β = 60.00°, γ = 60.00°
Closest atoms and distances in Å follow each position.
Element x y z (fractional)
Ni  0.2500  0.2500  0.2500  4 Al 2.75, 4 Lu 2.75
Lu  0.0000  0.0000  0.0000  4 Ni 2.75, 4 Li 2.75
Al  0.5000  0.5000  0.5000  4 Li 2.75, 4 Ni 2.75
Li  0.7500  0.7500  0.7500  4 Al 2.75, 4 Lu 2.75

Output
**Total moment**: 0.00 μB/f.u.
**Formation enthalpy at 0 K**: -0.39 eV per atom
**N(E_F)**: 4.889 states/eV/f.u.
**Final energy**: -0.1609 Ha/atom


Material: Sr6Hg2HN
Method: DFT, GGA-PBE
State: relaxed

a = 7.4866 Å, b = 7.6042 Å, c = 10.7152 Å
α = 90.00°, β = 89.87°, γ = 90.00°
Closest atoms and distances in Å follow each position.
Element x y z (fractional)
Sr  0.2795  0.6992  0.0334  1 N 2.61, 1 H 2.84
Sr  0.7795  0.8008  0.5334  1 N 2.61, 1 H 2.84
Sr  0.7205  0.3008  0.9666  1 N 2.61, 1 H 2.84
Sr  0.2205  0.1992  0.4666  1 N 2.61, 1 H 2.84
Sr  0.3031  0.7217  0.4670  1 N 2.60, 1 H 2.85
Sr  0.8031  0.7783  0.9670  1 N 2.60, 1 H 2.85
Sr  0.6969  0.2783  0.5330  1 N 2.60, 1 H 2.85
Sr  0.1969  0.2217  0.0330  1 N 2.60, 1 H 2.85
Sr  0.9339  0.5093  0.2383  1 N 2.60, 1 H 2.85
Sr  0.4339  0.9907  0.7383  1 N 2.60, 1 H 2.85
Sr  0.0661  0.4907  0.7617  1 N 2.60, 1 H 2.85
Sr  0.5661  0.0093  0.2617  1 N 2.60, 1 H 2.85
Hg  0.0117  0.9534  0.2495  8 Sr 3.37-3.69
Hg  0.5117  0.5466  0.7495  8 Sr 3.37-3.69
Hg  0.9883  0.0466  0.7505  8 Sr 3.37-3.69
Hg  0.4883  0.4534  0.2505  8 Sr 3.37-3.69
H  0.5000  0.0000  0.0000  6 Sr 2.84-2.85
H  0.0000  0.5000  0.5000  6 Sr 2.84-2.85
N  0.5000  0.0000  0.5000  6 Sr 2.60-2.61
N  0.0000  0.5000  0.0000  6 Sr 2.60-2.61

Output
**Total moment**: 0.00 μB/f.u.
**N(E_F)**: 5.946 states/eV/f.u.
**Final energy**: -0.0995 Ha/atom


Material: LiReTcOs
Method: DFT, GGA-PBE
State: relaxed

a = 4.2771 Å, b = 4.2771 Å, c = 4.2771 Å
α = 60.00°, β = 60.00°, γ = 60.00°
Closest atoms and distances in Å follow each position.
Element x y z (fractional)
Re  0.5000  0.5000  0.5000  4 Tc 2.62, 4 Os 2.62
Os  0.7500  0.7500  0.7500  4 Li 2.62, 4 Re 2.62
Tc  0.2500  0.2500  0.2500  4 Re 2.62, 4 Li 2.62
Li  0.0000  0.0000  0.0000  4 Tc 2.62, 4 Os 2.62

Output
**Total moment**: 0.00 μB/f.u.
**Formation enthalpy at 0 K**: 0.10 eV per atom
**N(E_F)**: 3.084 states/eV/f.u.
**Final energy**: -0.3267 Ha/atom


Material: NaNbBi2
Method: DFT, GGA-PBE
State: relaxed

a = 5.2022 Å, b = 5.2022 Å, c = 5.2022 Å
α = 60.00°, β = 60.00°, γ = 60.00°
Closest atoms and distances in Å follow each position.
Element x y z (fractional)
Na  0.0000  0.0000  0.0000  8 Bi 3.19
Nb  0.5000  0.5000  0.5000  8 Bi 3.19
Bi  0.2500  0.2500  0.2500  4 Nb 3.19, 4 Na 3.19
Bi  0.7500  0.7500  0.7500  4 Nb 3.19, 4 Na 3.19

Output
**Total moment**: 1.74 μB/f.u.
**Formation enthalpy at 0 K**: 0.23 eV per atom
**N(E_F)**: 2.683 states/eV/f.u.
**Final energy**: -0.1676 Ha/atom


Material: LaTlZn2
Method: DFT, GGA-PBE
State: relaxed

a = 5.1614 Å, b = 5.1614 Å, c = 5.1614 Å
α = 123.85°, β = 117.27°, γ = 89.13°
Closest atoms and distances in Å follow each position.
Element x y z (fractional)
La  0.5075  0.5075  0.0000  5 Zn 3.13-3.49, 4 Tl 3.16
Tl  0.2331  0.7331  0.5000  5 Zn 3.05-3.36, 4 La 3.16
Zn  0.9826  0.9826  0.0000  2 Zn 2.86, 2 Tl 3.05
Zn  0.7767  0.2767  0.5000  2 Zn 2.86, 4 La 3.13-3.18

Output
**Total moment**: 0.00 μB/f.u.
**Formation enthalpy at 0 K**: -0.19 eV per atom
**N(E_F)**: 1.499 states/eV/f.u.
**Final energy**: -0.0972 Ha/atom


Material: TlHF5
Method: DFT, GGA-PBE
State: relaxed

a = 6.0547 Å, b = 6.0569 Å, c = 7.7995 Å
α = 112.04°, β = 123.72°, γ = 80.61°
Closest atoms and distances in Å follow each position.
Element x y z (fractional)
Tl  0.9991  0.0014  0.9993  6 F 2.20-2.21
Tl  0.9989  0.5011  0.4993  6 F 2.19-2.23
H  0.4701  0.2241  0.7510  2 F 1.14-1.16
H  0.5279  0.7786  0.2475  2 F 1.14-1.16
F  0.9001  0.1392  0.2512  2 Tl 2.20-2.21
F  0.0979  0.8631  0.7474  2 Tl 2.20-2.21
F  0.6653  0.6228  0.2407  1 H 1.16
F  0.3987  0.9368  0.2534  1 H 1.14
F  0.1784  0.3584  0.1131  1 F 1.96
F  0.2408  0.5849  0.3946  1 F 1.96
F  0.8200  0.6444  0.8860  1 F 1.96
F  0.7576  0.4175  0.6045  1 F 1.96
F  0.5995  0.0658  0.7450  1 H 1.14
F  0.3328  0.3797  0.7579  1 H 1.16

Output
**Total moment**: 1.02 μB/f.u.
**Final energy**: -0.1299 Ha/atom


Material: La4Tm6Th
Method: DFT, GGA-PBE
State: relaxed

a = 5.7378 Å, b = 5.6632 Å, c = 26.0156 Å
α = 90.00°, β = 90.00°, γ = 120.44°
Closest atoms and distances in Å follow each position.
Element x y z (fractional)
La  0.8374  0.6747  0.5448  8 Tm 3.48-3.84, 1 La 3.76
La  0.4832  0.9665  0.1248  6 Tm 3.25-3.60
La  0.1626  0.3253  0.4552  8 Tm 3.48-3.84, 1 La 3.76
La  0.5168  0.0335  0.8752  6 Tm 3.25-3.60
La  0.8374  0.6747  0.9552  8 Tm 3.48-3.84, 1 La 3.76
La  0.1626  0.3253  0.0448  8 Tm 3.48-3.84, 1 La 3.76
La  0.5168  0.0335  0.6248  6 Tm 3.25-3.60
La  0.4832  0.9665  0.3752  6 Tm 3.25-3.60
Tm  0.5000  0.0000  0.0000  8 La 3.25-3.49
Tm  0.5000  0.0000  0.5000  8 La 3.25-3.49
Tm  0.1518  0.3037  0.3148  4 Tm 3.37-3.71, 4 La 3.60-3.66, 3 Th 3.66-3.71
Tm  0.8482  0.6963  0.6852  4 Tm 3.37-3.71, 4 La 3.60-3.66, 3 Th 3.66-3.71
Tm  0.8482  0.6963  0.8148  4 Tm 3.37-3.71, 4 La 3.60-3.66, 3 Th 3.66-3.71
Tm  0.1518  0.3037  0.1852  4 Tm 3.37-3.71, 4 La 3.60-3.66, 3 Th 3.66-3.71
Tm  0.8222  0.6443  0.3973  6 La 3.32-3.65
Tm  0.1778  0.3557  0.6027  6 La 3.32-3.65
Tm  0.1778  0.3557  0.8973  6 La 3.32-3.65
Tm  0.8222  0.6443  0.1027  6 La 3.32-3.65
Tm  0.4851  0.9702  0.2500  2 La 3.26, 3 Th 3.27-3.29
Tm  0.5149  0.0298  0.7500  2 La 3.26, 3 Th 3.27-3.29
Th  0.8197  0.6394  0.2500  5 Tm 3.27-3.66
Th  0.1803  0.3606  0.7500  5 Tm 3.27-3.66

Output
**Total moment**: 0.00 μB/f.u.
**Formation enthalpy at 0 K**: 0.12 eV per atom
**N(E_F)**: 17.403 states/eV/f.u.
**Final energy**: -0.1757 Ha/atom